# Nd6SiP2Se3, relaxed, DFT PBE-GGA
# uncorrected formation energy: -1.625 eV/atom
# spin magnetization: 0.0 μB/f.u.
# ρ: 6.2 Mg/m³
# final energy: -6.23 eV per atom
data_Nd6SiP2Se3
_chemical_formula_sum 'Nd6 Si1 P2 Se3'
_space_group_name_H-M_alt 'P 1'
_space_group_IT_number 1
_space_group_name_Hall 'P 1'
_cell_length_a 4.211
_cell_length_b 8.493
_cell_length_c 9.489
_cell_angle_alpha 103.74
_cell_angle_beta 102.82
_cell_angle_gamma 90.00
loop_
_atom_site_label
_atom_site_fract_x
_atom_site_fract_y
_atom_site_fract_z
Nd1 0.337 0.907 0.673
Nd2 0.671 0.573 0.342
Nd3 0.663 0.093 0.327
Nd4 0.004 0.243 0.007
Nd5 0.996 0.757 0.993
Nd6 0.329 0.427 0.658
Si1 0.500 0.000 0.000
P1 0.833 0.665 0.665
P2 0.167 0.335 0.335
Se1 0.500 0.500 0.000
Se2 0.833 0.168 0.666
Se3 0.167 0.832 0.334